PrInNiHg | GGA-PBE | optimized geometry

Structure (extended XYZ):
```
4
Lattice="-1.304 -3.209 3.615 2.938 -3.916 1.052 2.575 -0.116 4.293" Properties=species:S:1:pos:R:3 pbc="T T T"
Pr 0.000 0.000 0.000
Ni 1.052 -1.810 2.240
Hg 3.157 -5.431 6.720
In 2.105 -3.621 4.480
```

Calculated values
space-group type: No. 216
ΔH_f (0 K): -0.24 eV/atom

=====

Ca4SiC2 | GGA-PBE | optimized geometry

Structure (extended XYZ):
```
7
Lattice="-5.140 -0.321 2.648 -1.560 -4.302 -3.549 -1.101 -6.328 3.429" Properties=species:S:1:pos:R:3 pbc="T T T"
C -4.687 -8.218 2.572
C -3.114 -2.733 -0.043
Ca -5.604 -6.581 0.991
Ca -2.198 -4.370 1.538
Ca -0.780 -2.151 -1.775
Ca -2.570 -0.160 1.324
Si 0.000 0.000 0.000
```

Calculated values
space-group type: No. 139
uncorrected formation energy: 0.007 eV per atom

=====

LiThSiAu | GGA-PBE | optimized geometry

Structure (extended XYZ):
```
4
Lattice="-4.266 2.449 0.626 -3.318 0.180 -3.680 -4.263 -2.503 0.380" Properties=species:S:1:pos:R:3 pbc="T T T"
Si -2.962 0.031 -0.669
Au -8.885 0.094 -2.006
Th 0.000 0.000 0.000
Li -5.923 0.063 -1.337
```

Calculated values
space-group type: No. 216
uncorrected formation energy: -0.471 eV per atom

=====

NdDy2Se5 | GGA-PBE | optimized geometry

Structure (extended XYZ):
```
16
Lattice="7.662 0.000 0.000 0.000 7.662 0.000 -3.831 -3.831 6.616" Properties=species:S:1:pos:R:3 pbc="T T T"
Nd 3.831 3.831 3.308
Nd 0.000 0.000 3.308
Dy 1.193 2.638 0.000
Dy 5.024 1.193 0.000
Dy 2.638 6.469 0.000
Dy 6.469 5.024 0.000
Se 1.183 2.648 4.685
Se 5.014 6.479 1.931
Se 0.000 0.000 0.000
Se 3.831 3.831 0.000
Se -1.183 -2.648 4.685
Se 2.648 -1.183 4.685
Se -2.648 1.183 4.685
Se 1.183 5.014 1.931
Se 6.479 2.648 1.931
Se 2.648 1.183 1.931
```

Calculated values
space-group type: No. 140
uncorrected formation energy: -1.634 eV per atom

=====

ZrOsBr2 | GGA-PBE | optimized geometry

Structure (extended XYZ):
```
4
Lattice="-1.008 -3.294 -0.350 2.044 -0.294 -3.117 5.908 -2.242 4.086" Properties=species:S:1:pos:R:3 pbc="T T T"
Os 3.326 -1.262 2.300
Br 5.418 -2.056 3.747
Br 2.442 -2.524 -0.403
Zr 4.621 -3.351 1.104
```

Calculated values
space-group type: No. 25
uncorrected formation energy: -0.019 eV per atom
energy relative to the lowest polymorph listed for this composition: 0.928 eV/f.u.

=====

LaPuGaSi | GGA-PBE | optimized geometry

Structure (extended XYZ):
```
4
Lattice="5.135 0.000 0.000 2.568 4.447 0.000 2.568 1.482 4.193" Properties=species:S:1:pos:R:3 pbc="T T T"
Si 2.568 1.482 1.048
La 5.135 2.965 2.096
Ga 7.703 4.447 3.145
Pu 0.000 0.000 0.000
```

Calculated values
space-group type: No. 216
uncorrected formation energy: -0.356 eV per atom

=====

Ac3Cd6Hg5 | GGA-PBE | optimized geometry

Structure (extended XYZ):
```
28
Lattice="-3.202 3.854 0.877 -3.071 -4.465 8.410 10.606 7.077 7.630" Properties=species:S:1:pos:R:3 pbc="T T T"
Ac 6.725 3.882 7.499
Ac -1.711 0.043 8.318
Ac 4.512 4.196 12.794
Ac -0.790 -1.149 2.164
Ac 1.421 2.149 10.500
Ac 2.342 0.957 4.346
Cd 6.139 1.755 14.704
Cd 5.099 6.323 5.589
Cd 6.163 6.159 10.192
Cd -3.368 -0.642 5.277
Cd 3.999 1.643 7.386
Cd 5.075 1.919 10.101
Cd 1.801 -0.266 7.746
Cd -4.460 -2.229 8.267
Cd -1.482 -3.330 9.222
Cd -1.170 1.266 4.917
Cd 5.091 3.230 4.396
Cd 2.114 4.330 3.441
Hg 7.433 3.670 11.014
Hg 4.245 0.683 12.502
Hg -2.314 -3.365 6.338
Hg 3.805 4.408 9.279
Hg 2.945 4.365 6.326
Hg -0.104 -1.359 5.592
Hg 0.735 2.359 7.071
Hg 0.897 -1.551 10.093
Hg 6.992 7.395 7.792
Hg -0.266 2.552 2.570
```

Calculated values
space-group type: No. 59
ΔH_f (0 K): -0.32 eV/atom

=====

Ho4TmTh2 | GGA-PBE | optimized geometry

Structure (extended XYZ):
```
14
Lattice="6.200 0.000 -0.396 0.000 6.481 0.000 -2.526 0.000 11.187" Properties=species:S:1:pos:R:3 pbc="T T T"
Ho 3.263 3.204 2.934
Ho -2.125 4.861 9.459
Ho 5.798 1.620 1.332
Ho 3.263 0.037 2.934
Ho 3.974 1.620 6.013
Ho 0.410 6.444 7.857
Ho 0.410 3.277 7.857
Ho -0.300 4.861 4.778
Tm 0.728 4.861 1.588
Tm 2.945 1.620 9.203
Th 3.801 4.861 -0.128
Th -0.127 1.620 10.919
Th 0.811 1.620 4.904
Th 2.862 4.861 5.887
```

Calculated values
space-group type: No. 11
energy relative to the lowest polymorph listed for this composition: 0.396 eV/f.u.
ΔH_f (0 K): 0.17 eV/atom

=====

LiCa2As | GGA-PBE | optimized geometry

Structure (extended XYZ):
```
4
Lattice="-2.150 0.506 3.178 -2.154 -2.968 -0.984 2.233 -7.356 2.683" Properties=species:S:1:pos:R:3 pbc="T T T"
As -1.016 -7.490 2.863
Ca 2.065 -7.185 2.542
Ca 0.207 -5.333 0.990
Li -1.055 -2.328 2.013
```

Calculated values
space-group type: No. 10
ΔH_f (0 K): -0.58 eV/atom

=====

MgIr2F | GGA-PBE | optimized geometry

Structure (extended XYZ):
```
4
Lattice="0.000 3.052 3.052 3.052 0.000 3.052 3.052 3.052 0.000" Properties=species:S:1:pos:R:3 pbc="T T T"
Mg 3.052 3.052 3.052
Ir 1.526 1.526 1.526
Ir 4.578 4.578 4.578
F 0.000 0.000 0.000
```

Calculated values
space-group type: No. 225
uncorrected formation energy: 0.425 eV per atom
energy relative to the lowest polymorph listed for this composition: 3.301 eV/f.u.

=====

TlAs2CBr | GGA-PBE | optimized geometry

Structure (extended XYZ):
```
5
Lattice="-4.180 -1.183 -3.322 3.173 -3.507 -2.745 -1.598 -4.188 3.503" Properties=species:S:1:pos:R:3 pbc="T T T"
C -1.302 -4.439 -1.282
Tl 0.000 0.000 0.000
As 1.587 -1.753 -1.372
As -2.090 -0.591 -1.661
Br -0.799 -2.094 1.751
```

Calculated values
space-group type: No. 123
uncorrected formation energy: 2.168 eV per atom
energy relative to the lowest polymorph listed for this composition: 6.792 eV/f.u.

=====

NaSrNb4N8 | GGA-PBE | optimized geometry

Structure (extended XYZ):
```
14
Lattice="-3.145 3.232 4.560 -0.153 -2.253 6.003 3.529 3.162 4.703" Properties=species:S:1:pos:R:3 pbc="T T T"
Na -3.233 1.019 10.579
Sr 1.896 3.161 8.088
Nb -1.572 1.037 7.202
Nb 1.724 0.550 5.310
Nb 0.298 3.165 4.622
Nb 1.797 1.624 2.449
N 1.534 1.147 9.266
N -0.164 4.259 8.447
N 1.620 2.425 5.860
N 0.320 1.196 3.883
N -1.379 2.681 6.169
N 0.066 0.032 6.866
N -1.453 1.592 9.067
N 0.044 3.026 11.416
```

Calculated values
space-group type: No. 160
uncorrected formation energy: -0.564 eV per atom

=====

VGe4Pt2 | GGA-PBE | optimized geometry

Structure (extended XYZ):
```
7
Lattice="-2.713 -1.039 -3.786 1.266 -4.588 0.351 -5.492 -3.846 1.983" Properties=species:S:1:pos:R:3 pbc="T T T"
Ge -3.640 -3.445 0.546
Ge -3.299 -6.028 -1.998
Ge 0.633 -2.294 0.176
Ge -1.357 -0.519 -1.893
Pt -1.794 -3.045 -0.887
Pt -5.145 -6.428 -0.565
V 0.000 0.000 0.000
```

Calculated values
space-group type: No. 139
ΔH_f (0 K): 0.14 eV/atom

=====

V5Fe2CoPt2 | GGA-PBE | optimized geometry

Structure (extended XYZ):
```
20
Lattice="-2.036 1.744 0.884 0.602 -3.802 8.889 6.682 6.600 2.371" Properties=species:S:1:pos:R:3 pbc="T T T"
V -0.422 0.619 2.314
V 5.669 3.923 9.829
V 4.428 5.935 2.998
V 2.258 1.068 7.603
V 0.820 -1.393 9.145
V 2.989 3.474 4.541
V 3.946 3.261 7.165
V 1.301 1.281 4.978
V -0.717 -1.029 4.886
V 2.323 4.172 1.627
Fe 4.295 3.667 2.661
Fe 2.989 -0.869 8.599
Fe 6.186 3.337 7.669
Fe 1.097 -0.538 3.591
Co 0.000 0.000 0.000
Co 3.642 1.399 5.630
Pt 1.555 -1.419 6.384
Pt 5.728 4.217 4.876
Pt 2.294 1.509 2.308
Pt 4.990 1.290 8.952
```

Calculated values
space-group type: No. 127
ΔH_f (0 K): -0.07 eV/atom

=====

KZn2Re | GGA-PBE | optimized geometry

Structure (extended XYZ):
```
4
Lattice="-2.215 0.054 -1.460 -1.582 -3.416 2.274 -3.306 4.995 5.202" Properties=species:S:1:pos:R:3 pbc="T T T"
K -1.712 2.587 2.694
Re -4.751 2.630 4.896
Zn -3.096 4.679 4.873
Zn -2.503 -0.768 1.358
```

Calculated values
space-group type: No. 25
energy relative to the lowest polymorph listed for this composition: 0.711 eV/f.u.
ΔH_f (0 K): 0.67 eV/atom

=====

La2Si2O7 | GGA-PBE | optimized geometry

Structure (extended XYZ):
```
44
Lattice="8.731 0.000 0.000 0.000 6.247 -0.066 0.000 0.065 16.580" Properties=species:S:1:pos:R:3 pbc="T T T"
La 4.052 5.282 9.853
La 8.417 1.062 14.952
La 7.662 2.974 4.663
La 3.296 3.306 3.561
La 1.069 3.338 11.851
La 5.434 3.006 12.954
La 0.313 5.250 1.563
La 4.678 1.029 6.662
Si 0.629 2.234 1.902
Si 5.883 5.660 3.731
Si 3.736 2.267 10.192
Si 4.994 4.045 6.323
Si 7.213 5.693 12.021
Si 8.102 4.078 14.613
Si 1.518 0.619 4.494
Si 2.847 0.651 12.784
O 2.548 3.431 9.898
O 2.768 1.152 11.179
O 1.522 5.204 3.925
O 5.888 1.076 4.299
O 7.271 5.167 3.058
O 6.913 2.914 14.907
O 3.135 4.066 13.084
O 1.459 1.145 13.456
O 4.536 5.164 3.033
O 5.595 2.246 3.430
O 7.501 2.278 11.720
O 5.824 5.200 11.348
O 3.937 1.248 8.875
O 8.302 5.097 15.929
O 0.428 1.215 0.585
O 1.818 3.398 1.608
O 1.230 4.034 4.794
O 1.597 1.119 2.888
O 2.843 5.236 12.215
O 4.794 5.064 7.639
O 6.183 2.881 6.617
O 2.906 1.112 5.166
O 4.194 1.148 13.482
O 0.171 1.115 5.191
O 7.208 1.108 12.590
O 5.963 5.160 5.336
O 8.560 5.197 11.323
O 7.133 5.193 13.626
```

Calculated values
space-group type: No. 14
uncorrected formation energy: -2.528 eV per atom

=====

SbPPb | GGA-PBE | optimized geometry

Structure (extended XYZ):
```
6
Lattice="5.654 0.000 0.000 -0.023 5.734 0.000 -0.025 -0.027 5.897" Properties=species:S:1:pos:R:3 pbc="T T T"
Sb 1.302 4.466 3.557
Sb 5.005 2.719 2.407
P 3.975 4.361 0.721
P 2.518 5.703 1.701
Pb 3.093 2.374 4.746
Pb 0.343 0.586 0.037
```

Calculated values
space-group type: No. 1
uncorrected formation energy: 0.091 eV per atom
energy relative to the lowest polymorph listed for this composition: 0.046 eV/f.u.

=====

BaTaTc2 | GGA-PBE | optimized geometry

Structure (extended XYZ):
```
4
Lattice="-3.841 -1.773 2.275 -1.413 1.911 4.174 -4.057 2.562 0.217" Properties=species:S:1:pos:R:3 pbc="T T T"
Tc -2.328 0.675 1.667
Tc -6.984 2.025 5.000
Ba 0.000 0.000 0.000
Ta -4.656 1.350 3.333
```

Calculated values
space-group type: No. 225
energy relative to the lowest polymorph listed for this composition: 1.939 eV/f.u.
ΔH_f (0 K): 0.93 eV/atom